1.
SmYAgPd after structural relaxation, computed with PBE.

Summary:
SG = No. 99
Energy relative to the lowest polymorph listed for this composition = 0 meV per atom

```
4
Lattice="3.601 0.000 0.000 0.000 3.601 0.000 0.000 0.000 7.290" Properties=species:S:1:pos:R:3 pbc="T T T"
Sm 1.801 1.801 0.861
Y 1.801 1.801 4.349
Ag 0.000 0.000 6.184
Pd 0.000 0.000 2.662
```

=====

2.
SmZrAgPd after structural relaxation, computed with PBE.

Summary:
SG = No. 216

```
4
Lattice="-2.261 2.064 -3.927 -3.106 -2.710 -2.792 -4.895 0.899 0.134" Properties=species:S:1:pos:R:3 pbc="T T T"
Zr -5.131 0.127 -3.292
Pd -7.697 0.190 -4.939
Ag -2.566 0.063 -1.646
Sm 0.000 0.000 0.000
```

=====

3.
AgSn2Pd4 after structural relaxation, computed with PBE.

Summary:
SG = No. 139
Energy relative to the lowest polymorph listed for this composition = 120 meV per atom

```
7
Lattice="3.787 0.000 -0.949 -0.238 3.780 -0.949 0.484 0.515 9.958" Properties=species:S:1:pos:R:3 pbc="T T T"
Ag 0.000 0.000 0.000
Sn 2.412 2.568 1.592
Sn 1.621 1.726 6.467
Pd 0.628 0.669 2.505
Pd 3.405 3.626 5.555
Pd 3.023 1.202 4.030
Pd 1.010 3.092 4.030
```

=====

4.
Ag2SnPd after structural relaxation, computed with PBE.

Summary:
SG = No. 122
Energy relative to the lowest polymorph listed for this composition = 202 meV per atom

```
8
Lattice="-1.136 -5.662 -5.064 4.103 -4.767 4.409 -0.783 -5.942 0.995" Properties=species:S:1:pos:R:3 pbc="T T T"
Pd 1.483 -5.215 -0.327
Pd 2.402 -7.962 2.539
Sn 0.000 0.000 0.000
Sn -0.218 -8.410 -2.198
Ag -0.383 -5.568 -2.318
Ag 2.216 -5.225 2.325
Ag 0.563 -8.412 0.542
Ag 1.971 -13.538 0.133
```

=====

5.
Ag2Sn5Pd12 after structural relaxation, computed with PBE.

Summary:
SG = No. 12

```
19
Lattice="5.543 0.000 0.000 -2.771 7.566 0.081 0.000 -2.588 8.649" Properties=species:S:1:pos:R:3 pbc="T T T"
Ag 4.173 0.000 0.000
Ag 1.369 0.000 0.000
Sn 0.000 3.105 5.639
Sn 0.000 5.010 1.283
Sn 0.000 -1.294 4.324
Sn 2.771 -0.032 7.447
Sn 2.771 1.873 3.091
Pd 0.000 0.814 2.643
Pd -1.430 2.314 7.735
Pd 1.430 2.314 7.735
Pd -1.372 4.153 3.495
Pd 1.372 4.153 3.495
Pd 0.000 5.724 5.669
Pd 2.771 -0.746 3.060
Pd 4.143 0.825 5.235
Pd 1.400 0.825 5.235
Pd 4.202 2.664 0.995
Pd 1.341 2.664 0.995
Pd 2.771 4.164 6.087
```

=====

6.
AgSn3Pd3 after structural relaxation, computed with PBE.

Summary:
SG = No. 176

```
14
Lattice="4.789 0.000 0.000 0.000 8.142 0.000 0.000 -4.071 7.051" Properties=species:S:1:pos:R:3 pbc="T T T"
Ag 1.197 4.071 2.350
Ag 3.592 0.000 4.701
Sn 3.592 3.085 4.028
Sn 3.592 3.111 0.657
Sn 3.592 6.017 2.366
Sn 1.197 0.986 3.023
Sn 1.197 0.960 6.393
Sn 1.197 -1.946 4.685
Pd 1.197 3.547 5.378
Pd 1.197 1.710 0.383
Pd 1.197 6.955 1.290
Pd 3.592 0.524 1.672
Pd 3.592 2.361 6.668
Pd 3.592 -2.884 5.761
```

=====

7.
AgSnPd2 after structural relaxation, computed with PBE.

Summary:
SG = No. 225
Energy relative to the lowest polymorph listed for this composition = 0 meV per atom

```
4
Lattice="-3.574 -0.810 2.779 0.392 -3.048 3.422 0.108 1.445 4.365" Properties=species:S:1:pos:R:3 pbc="T T T"
Pd -0.768 -0.603 2.642
Pd -2.305 -1.810 7.925
Sn -1.537 -1.206 5.283
Ag 0.000 0.000 0.000
```

=====

8.
AgSn2Pd9 after structural relaxation, computed with PBE.

Summary:
SG = No. 123

```
12
Lattice="-1.909 0.476 3.533 -3.155 -2.092 -1.423 4.915 -10.145 4.021" Properties=species:S:1:pos:R:3 pbc="T T T"
Ag 0.000 0.000 0.000
Sn 1.621 -3.345 1.326
Sn 3.295 -6.799 2.695
Pd -2.532 -0.808 1.055
Pd -0.890 -4.197 2.399
Pd 0.742 -7.564 3.733
Pd -0.134 -1.455 2.438
Pd 1.503 -4.834 3.777
Pd 3.141 -8.214 5.117
Pd -0.757 -2.739 -0.040
Pd 0.880 -6.119 1.299
Pd 2.518 -9.498 2.639
```

=====

What energy relative to the elements values result from the calculations? In sequence: -562; -304; -189; 51; -292; -261; -368; -327 meV per atom.
What DOS at the Fermi energy values result from the calculations? In sequence: 3.98; 4.62; 3.08; 1.23; 8.32; 2.65; 2.57; 13.49 states/eV/f.u..